Entry 1:
# ScTcP4

Crystalline ScTcP4 at its relaxed geometry (PBE, Alexandria).

abc: 7.0678 7.0678 7.0678
angles: 90.00 90.00 90.00
With the nearest neighbours (Å) after each atom.
Space group F-43m (No. 216)
Asymmetric unit:
1 Sc 0.0000 0.0000 0.0000  12 P 2.93, 4 Tc 3.06
2 Tc 0.2500 0.2500 0.7500  12 P 2.93, 4 Sc 3.06
3 P 0.1241 0.1241 0.3759  6 P 2.48-2.52

Calculated values
calculated volume: 14.71 Å³/atom


Entry 2:
# Sc2Tc2P

Crystalline Sc2Tc2P at its relaxed geometry (PBE, Alexandria).

abc: 4.0226 4.0226 11.8699
angles: 90.00 90.00 90.00
With the nearest neighbours (Å) after each atom.
Space group I4/mmm (No. 139)
Asymmetric unit:
1 Sc 0.0000 0.5000 0.2500  4 Tc 2.72, 4 Sc 2.84
2 Tc 0.0000 0.0000 0.0953  1 Tc 2.26
3 P 0.0000 0.0000 0.5000  8 Tc 3.06

Calculated values
calculated volume: 19.21 Å³/atom
polymorph energy (0 for the lowest one): 123.37 kJ/mol of atoms


Entry 3:
# ScTc3P

Crystalline ScTc3P at its relaxed geometry (PBE, Alexandria).

abc: 4.5940 4.5940 4.5940
angles: 90.00 90.00 90.00
With the nearest neighbours (Å) after each atom.
Space group Pm-3m (No. 221)
Asymmetric unit:
1 Sc 0.0000 0.0000 0.0000  6 Tc 2.30
2 Tc 0.0000 0.0000 0.5000  2 Sc 2.30
3 P 0.5000 0.5000 0.5000  12 Tc 3.25

Calculated values
calculated volume: 19.39 Å³/atom
polymorph energy (0 for the lowest one): 195.52 kJ/mol of atoms


Entry 4:
# Sc2Tc12P7

Crystalline Sc2Tc12P7 at its relaxed geometry (PBE, Alexandria).

abc: 10.6421 10.6421 3.0117
angles: 90.00 90.00 120.00
With the nearest neighbours (Å) after each atom.
Space group P-6 (No. 174)
Asymmetric unit:
1 Sc 0.0000 0.0000 0.0000  6 P 2.79, 6 Tc 2.94, 2 Sc 3.01
2 Sc 0.3333 0.6667 0.5000  6 P 2.81, 6 Tc 2.95, 2 Sc 3.01
3 Tc 0.0321 0.2517 0.5000  4 P 2.38-2.50
4 Tc 0.1135 0.7002 0.0000  4 P 2.40-2.51
5 Tc 0.4122 0.2153 0.0000  3 P 2.35-2.42
6 Tc 0.5313 0.0812 0.5000  2 P 2.41
7 P 0.0996 0.4572 0.0000  6 Tc 2.40-2.51
8 P 0.2307 0.2084 0.5000  6 Tc 2.38-2.50
9 P 0.6667 0.3333 0.0000  3 Tc 2.35

Calculated values
calculated volume: 14.07 Å³/atom


| no. | density (Mg/m³) | uncorrected energy (eV/atom) |
| --- | --- | --- |
| 1 | 5.02 | -6.09 |
| 2 | 5.48 | -6.94 |
| 3 | 6.34 | -6.53 |
| 4 | 8.34 | -8.90 |